Model A:
Entry from Alexandria: a geometry-optimized Mg3AuCl structure (GGA-PBE).

abc: 4.807 4.807 4.807
angles: 90.00 90.00 90.00
Space group Pm-3m (No. 221)
One atom of each set of equivalent atoms:
Mg1 0.000 0.000 0.500 (multiplicity 3)
Au1 0.500 0.500 0.500 (multiplicity 1)
Cl1 0.000 0.000 0.000 (multiplicity 1)

Results
spin magnetization = 0.00 μB per atom


Model B:
Entry from Alexandria: a geometry-optimized Mg3AuCl structure (GGA-PBE).

abc: 5.172 5.172 5.172
angles: 90.00 90.00 90.00
Space group Pm-3m (No. 221)
One atom of each set of equivalent atoms:
Mg1 0.000 0.000 0.500 (multiplicity 3)
Au1 0.000 0.000 0.000 (multiplicity 1)
Cl1 0.500 0.500 0.500 (multiplicity 1)

Results
spin magnetization = 0.00 μB per atom


Which one is most stable, and which one is least stable? model B is the most stable of them, while model A is the least stable.


Model A:
Entry from Alexandria: a geometry-optimized MgAuCl structure (GGA-PBE).

abc: 6.534 6.534 6.534
angles: 90.00 90.00 90.00
Space group F-43m (No. 216)
One atom of each set of equivalent atoms:
Mg1 0.000 0.000 0.000 (multiplicity 4)
Au1 0.250 0.250 0.250 (multiplicity 4)
Cl1 0.250 0.250 0.750 (multiplicity 4)

Results
spin magnetization = 0.00 μB per atom


Model B:
Entry from Alexandria: a geometry-optimized MgAuCl structure (GGA-PBE).

abc: 14.203 3.440 5.903
angles: 90.00 90.00 90.00
Space group Amm2 (No. 38)
One atom of each set of equivalent atoms:
Mg1 0.000 0.000 0.000 (multiplicity 2)
Mg2 0.500 0.000 0.217 (multiplicity 2)
Au1 0.130 0.000 0.335 (multiplicity 4)
Cl1 0.390 0.000 0.883 (multiplicity 4)

Results
spin magnetization = 0.00 μB per atom


Model C:
Entry from Alexandria: a geometry-optimized MgAuCl structure (GGA-PBE).

abc: 4.307 4.618 13.357
angles: 90.00 90.00 90.00
Space group Fmm2 (No. 42)
One atom of each set of equivalent atoms:
Mg1 0.000 0.000 0.000 (multiplicity 4)
Au1 0.000 0.000 0.631 (multiplicity 4)
Cl1 0.000 0.000 0.390 (multiplicity 4)

Results
spin magnetization = 0.00 μB per atom


Which one is most stable, and which one is least stable? model B is the most stable of them, while model A is the least stable.


Model A:
Entry from Alexandria: a geometry-optimized MgP2AuCl structure (GGA-PBE).

abc: 4.919 4.919 4.636
angles: 90.00 90.00 90.00
Space group P4/mmm (No. 123)
One atom of each set of equivalent atoms:
Mg1 0.000 0.000 0.000 (multiplicity 1)
P1 0.000 0.500 0.000 (multiplicity 2)
Au1 0.500 0.500 0.500 (multiplicity 1)
Cl1 0.000 0.000 0.500 (multiplicity 1)

Results
spin magnetization = 0.00 μB per atom


Model B:
Entry from Alexandria: a geometry-optimized MgP2AuCl structure (GGA-PBE).

abc: 4.706 4.706 5.800
angles: 90.00 90.00 90.00
Space group P4/mmm (No. 123)
One atom of each set of equivalent atoms:
Mg1 0.000 0.000 0.000 (multiplicity 1)
P1 0.000 0.500 0.500 (multiplicity 2)
Au1 0.500 0.500 0.500 (multiplicity 1)
Cl1 0.500 0.500 0.000 (multiplicity 1)

Results
spin magnetization = 0.28 μB per atom


Which one is most stable, and which one is least stable? model B is the most stable of them, while model A is the least stable.


Model A:
Entry from Alexandria: a geometry-optimized MnAuCl structure (GGA-PBE).

abc: 4.236 4.568 6.888
angles: 90.00 107.71 90.00
Space group Cm (No. 8)
One atom of each set of equivalent atoms:
Mn1 0.000 0.000 0.000 (multiplicity 2)
Au1 0.370 0.000 0.736 (multiplicity 2)
Cl1 0.112 0.500 0.228 (multiplicity 2)

Results
spin magnetization = 1.56 μB per atom


Model B:
Entry from Alexandria: a geometry-optimized MnAuCl structure (GGA-PBE).

abc: 3.4923 3.4923 6.2905
angles: 90.00 90.00 120.00
Space group P3m1 (No. 156)
One atom of each set of equivalent atoms:
Mn1 0.0000 0.0000 0.0000 (multiplicity 1)
Au1 0.3333 0.6667 0.2737 (multiplicity 1)
Cl1 0.6667 0.3333 0.7584 (multiplicity 1)

Results
spin magnetization = 1.61 μB per atom


Model C:
Entry from Alexandria: a geometry-optimized MnAuCl structure (GGA-PBE).

abc: 6.453 6.453 6.453
angles: 90.00 90.00 90.00
Space group F-43m (No. 216)
One atom of each set of equivalent atoms:
Mn1 0.000 0.000 0.000 (multiplicity 4)
Au1 0.250 0.250 0.250 (multiplicity 4)
Cl1 0.250 0.250 0.750 (multiplicity 4)

Results
spin magnetization = 1.67 μB per atom


Which one is most stable, and which one is least stable? model B is the most stable of them, while model C is the least stable.